No. 1
Computed, not measured: crystalline Pu2Mg5Zn12 at its relaxed geometry at the GGA-PBE level of DFT.

a = 7.071 Å, b = 7.071 Å, c = 7.071 Å
α = 82.00°, β = 82.00°, γ = 82.00°
Each line ends with the local moment (μB).
Atoms (fractional coordinates):
Pu 0.658 0.658 0.658  5.37
Zn 0.360 0.836 0.360  0.00
Zn 0.164 0.640 0.640  0.00
Zn 0.297 0.000 0.703  0.00
Zn 0.640 0.164 0.640  0.00
Mg 0.500 0.000 0.000  0.00
Zn 0.703 0.297 0.000  0.00
Pu 0.342 0.342 0.342  5.37
Mg 0.000 0.000 0.500  0.00
Zn 0.000 0.703 0.297  0.00
Zn 0.836 0.360 0.360  0.00
Zn 0.640 0.640 0.164  0.00
Zn 0.360 0.360 0.836  0.00
Zn 0.297 0.703 0.000  0.00
Zn 0.703 0.000 0.297  0.00
Zn 0.000 0.297 0.703  0.00
Mg 0.899 0.899 0.899  0.00
Mg 0.000 0.500 0.000  0.00
Mg 0.101 0.101 0.101  0.00

Summary:
The value obtained for the calculated density is 6.73 g cm⁻³. For the calculated volume, the calculation gives 344 Å³/cell. As for the magnetic moment: 11.38 μB per cell. Its formation energy is -89 meV/atom.

***

No. 2
Computed, not measured: crystalline PuMgZr2 at its relaxed geometry at the GGA-PBE level of DFT.

a = 3.231 Å, b = 3.231 Å, c = 10.634 Å
α = 81.26°, β = 81.26°, γ = 60.00°
Each line ends with the local moment (μB).
Atoms (fractional coordinates):
Pu 0.000 0.000 0.000  5.13
Mg 0.500 0.500 0.500  0.00
Zr 0.251 0.251 0.247  -0.06
Zr 0.749 0.749 0.753  -0.06

Summary:
The value obtained for the calculated density is 7.91 g cm⁻³. For the calculated volume, the calculation gives 95 Å³/cell. As for the magnetic moment: 5.19 μB per cell. Its formation energy is 115 meV/atom. Its energy above the lowest structure with this stoichiometry is 22 meV/atom.

***

No. 3
Computed, not measured: crystalline PuMgZr at its relaxed geometry at the GGA-PBE level of DFT.

a = 3.163 Å, b = 3.223 Å, c = 26.850 Å
α = 90.00°, β = 90.00°, γ = 90.00°
Atoms (fractional coordinates):
Zr 0.252 0.750 0.853
Pu 0.249 0.750 0.231
Pu 0.751 0.250 0.769
Mg 0.251 0.250 0.457
Zr 0.748 0.250 0.147
Pu 0.251 0.750 0.731
Zr 0.248 0.750 0.353
Mg 0.249 0.250 0.957
Mg 0.749 0.750 0.543
Mg 0.751 0.750 0.043
Zr 0.752 0.250 0.647
Pu 0.749 0.250 0.269

Summary:
The value obtained for the calculated density is 8.73 g cm⁻³. For the calculated volume, the calculation gives 274 Å³/cell. As for the magnetic moment: 0.00 μB per cell. Its formation energy is 267 meV/atom. Its energy above the lowest structure with this stoichiometry is 165 meV/atom.

***

No. 4
Computed, not measured: crystalline PuMgZr at its relaxed geometry at the GGA-PBE level of DFT.

a = 3.118 Å, b = 3.118 Å, c = 7.649 Å
α = 101.76°, β = 101.76°, γ = 90.00°
Each line ends with the local moment (μB).
Atoms (fractional coordinates):
Mg 0.005 0.005 0.011  0.00
Pu 0.329 0.329 0.659  5.27
Zr 0.665 0.665 0.331  -0.27

Summary:
The value obtained for the calculated density is 8.38 g cm⁻³. For the calculated volume, the calculation gives 71 Å³/cell. As for the magnetic moment: 5.15 μB per cell. Its formation energy is 103 meV/atom. Its energy above the lowest structure with this stoichiometry is 0 meV/atom.

***

No. 5
Computed, not measured: crystalline PuMg4Zr at its relaxed geometry at the GGA-PBE level of DFT.

a = 5.860 Å, b = 5.860 Å, c = 5.860 Å
α = 60.00°, β = 60.00°, γ = 60.00°
Each line ends with the local moment (μB).
Atoms (fractional coordinates):
Mg 0.626 0.626 0.123  -0.01
Pu 0.250 0.250 0.250  5.51
Mg 0.626 0.626 0.626  -0.01
Mg 0.626 0.123 0.626  -0.01
Zr 0.000 0.000 0.000  0.49
Mg 0.123 0.626 0.626  -0.01

Summary:
The value obtained for the calculated density is 5.05 g cm⁻³. For the calculated volume, the calculation gives 142 Å³/cell. As for the magnetic moment: 6.73 μB per cell. Its formation energy is 171 meV/atom.

***

No. 6
Computed, not measured: crystalline PuMgZr at its relaxed geometry at the GGA-PBE level of DFT.

a = 2.916 Å, b = 5.279 Å, c = 5.279 Å
α = 120.00°, β = 90.00°, γ = 90.00°
Each line ends with the local moment (μB).
Atoms (fractional coordinates):
Mg 0.693 0.667 0.333  -0.01
Pu 0.354 0.333 0.667  5.44
Zr 0.952 0.000 0.000  -0.08

Summary:
The value obtained for the calculated density is 8.48 g cm⁻³. For the calculated volume, the calculation gives 70 Å³/cell. As for the magnetic moment: 5.52 μB per cell. Its formation energy is 178 meV/atom. Its energy above the lowest structure with this stoichiometry is 76 meV/atom.

***

No. 7
Computed, not measured: crystalline PuMgZr2 at its relaxed geometry at the GGA-PBE level of DFT.

a = 3.313 Å, b = 5.234 Å, c = 5.234 Å
α = 90.00°, β = 90.00°, γ = 90.00°
Each line ends with the local moment (μB).
Atoms (fractional coordinates):
Mg 0.500 0.500 0.500  -0.01
Zr 0.000 0.500 0.000  0.10
Zr 0.000 0.000 0.500  0.10
Pu 0.500 0.000 0.000  5.18

Summary:
The value obtained for the calculated density is 8.25 g cm⁻³. For the calculated volume, the calculation gives 91 Å³/cell. As for the magnetic moment: 5.66 μB per cell. Its formation energy is 120 meV/atom. Its energy above the lowest structure with this stoichiometry is 27 meV/atom.

***

No. 8
Computed, not measured: crystalline PuMgZr2 at its relaxed geometry at the GGA-PBE level of DFT.

a = 3.214 Å, b = 3.214 Å, c = 9.030 Å
α = 90.00°, β = 90.00°, γ = 90.00°
Each line ends with the local moment (μB).
Atoms (fractional coordinates):
Pu 0.500 0.500 0.500  5.17
Zr 0.000 0.000 0.246  -0.09
Zr 0.000 0.000 0.754  -0.09
Mg 0.500 0.500 0.000  0.00

Summary:
The value obtained for the calculated density is 8.02 g cm⁻³. For the calculated volume, the calculation gives 93 Å³/cell. As for the magnetic moment: 5.13 μB per cell. Its formation energy is 93 meV/atom. Its energy above the lowest structure with this stoichiometry is 0 meV/atom.

***

No. 9
Computed, not measured: crystalline PuMgZr2 at its relaxed geometry at the GGA-PBE level of DFT.

a = 3.211 Å, b = 3.211 Å, c = 10.793 Å
α = 81.46°, β = 81.46°, γ = 59.95°
Each line ends with the local moment (μB).
Atoms (fractional coordinates):
Pu 0.667 0.667 0.000  5.15
Zr 0.251 0.251 0.248  -0.09
Zr 0.082 0.082 0.753  -0.07
Mg 0.500 0.500 0.500  0.00

Summary:
The value obtained for the calculated density is 7.89 g cm⁻³. For the calculated volume, the calculation gives 95 Å³/cell. As for the magnetic moment: 5.12 μB per cell. Its formation energy is 136 meV/atom. Its energy above the lowest structure with this stoichiometry is 43 meV/atom.

***

No. 10
Computed, not measured: crystalline Rb3Mg at its relaxed geometry at the GGA-PBE level of DFT.

a = 8.619 Å, b = 8.619 Å, c = 8.619 Å
α = 146.00°, β = 129.98°, γ = 61.86°
Atoms (fractional coordinates):
Rb 0.366 0.291 0.075
Mg 0.598 0.000 0.598
Rb 0.085 0.500 0.585
Rb 0.784 0.709 0.075

Summary:
The value obtained for the calculated density is 1.72 g cm⁻³. For the calculated volume, the calculation gives 272 Å³/cell. As for the magnetic moment: 0.00 μB per cell. Its formation energy is 166 meV/atom.

***

No. 11
Computed, not measured: crystalline RbMg2 at its relaxed geometry at the GGA-PBE level of DFT.

a = 5.394 Å, b = 6.170 Å, c = 7.508 Å
α = 90.00°, β = 110.95°, γ = 90.00°
Atoms (fractional coordinates):
Rb 0.065 0.500 0.226
Mg 0.783 0.750 0.683
Mg 0.783 0.250 0.683
Mg 0.244 0.000 0.604
Mg 0.320 0.500 0.755
Rb 0.519 0.000 0.134

Summary:
The value obtained for the calculated density is 1.91 g cm⁻³. For the calculated volume, the calculation gives 233 Å³/cell. As for the magnetic moment: 0.00 μB per cell. Its formation energy is 143 meV/atom.

***

No. 12
Computed, not measured: crystalline Rb7Mg at its relaxed geometry at the GGA-PBE level of DFT.

a = 9.634 Å, b = 9.634 Å, c = 9.634 Å
α = 60.00°, β = 60.00°, γ = 60.00°
Atoms (fractional coordinates):
Rb 0.000 0.000 0.500
Mg 0.000 0.000 0.000
Rb 0.500 0.500 0.500
Rb 0.500 0.000 0.500
Rb 0.000 0.500 0.000
Rb 0.500 0.500 0.000
Rb 0.500 0.000 0.000
Rb 0.000 0.500 0.500

Summary:
The value obtained for the calculated density is 1.63 g cm⁻³. For the calculated volume, the calculation gives 632 Å³/cell. As for the magnetic moment: 0.00 μB per cell. Its formation energy is 114 meV/atom.